! PBE with a Hubbard U ScZnMoO6, relaxed; values from VASP
&SYSTEM
  ibrav = 0, nat = 9, ntyp = 4
/
ATOMIC_SPECIES
Sc 44.96 Sc.upf
Zn 65.41 Zn.upf
Mo 95.94 Mo.upf
O 16.00 O.upf
CELL_PARAMETERS angstrom
5.272 0.000 0.000
-2.636 4.565 0.000
0.000 0.000 4.429
ATOMIC_POSITIONS crystal
Sc 0.000 0.000 0.000
Zn 0.667 0.333 0.500
Mo 0.333 0.667 0.000
O 0.022 0.357 0.238
O 0.022 0.666 0.762
O 0.334 0.357 0.762
O 0.334 0.978 0.238
O 0.643 0.666 0.238
O 0.643 0.978 0.762
! calculated volume = 107 Å³ per cell
! space group = P312, No. 149
! calculated total energy = -60.6 eV per cell